# 1
VASP calculation (PBE) on a geometry-optimized Pr2MnNbN5 structure.

```
18
Lattice="-0.155 -3.100 1.236 -1.036 -0.998 -7.149 10.174 -1.040 -1.330" Properties=species:S:1:pos:R:3 pbc="T T T"
Nb 4.634 -3.596 -3.922
N 2.803 -1.855 0.216
N 0.026 -0.184 -0.459
N 3.175 -2.050 -4.742
N -0.675 -1.741 -4.452
Pr 1.002 -3.700 -4.639
N 4.073 -4.454 -6.146
Pr 3.007 -1.004 -2.140
N 8.514 -3.365 -2.854
N 1.083 -2.738 -2.216
Pr 7.485 -4.288 -5.300
Nb -0.180 -1.079 -2.729
Mn 9.370 -2.784 -1.289
N 6.862 -3.353 -7.548
N 4.735 -2.894 -2.148
N 6.028 -2.209 -4.782
Pr 6.760 -1.313 -2.444
Mn 3.470 -2.749 -6.458
```

Computed properties:
space group: Cmc2_1
size of the total moment: 0.26 μB/atom
mass density: 6.79 Mg/m³
E: -8.76 eV per atom
formation energy (no corrections): -0.932 eV/atom

# 2
VASP calculation (PBE) on a geometry-optimized LaPrRu structure.

```
12
Lattice="4.253 0.000 0.000 0.000 6.603 0.000 0.000 0.000 13.435" Properties=species:S:1:pos:R:3 pbc="T T T"
Ru 1.065 5.681 11.768
La 3.191 6.554 13.361
Ru 3.188 2.379 8.385
Pr 1.064 5.288 3.292
La 3.188 0.048 6.643
Ru 3.191 4.223 1.667
Pr 3.189 1.987 3.425
La 1.062 3.253 6.792
Pr 1.063 1.315 10.010
La 1.065 3.349 0.074
Pr 3.191 4.616 10.143
Ru 1.062 0.922 5.051
```

Computed properties:
space group: Pnma
size of the total moment: 0.00 μB/atom
mass density: 6.71 Mg/m³
calculated formation energy: -0.185 eV/atom
E: -6.51 eV per atom
energy above the most stable polymorph in this dataset: 0.0143 eV per atom

# 3
VASP calculation (PBE) on a geometry-optimized AsRuBr2Cl structure.

```
5
Lattice="-3.694 -3.226 -1.358 3.044 -1.985 -3.563 1.785 -3.508 3.479" Properties=species:S:1:pos:R:3 pbc="T T T"
As 0.893 -1.754 1.740
Ru 0.567 -4.360 -0.721
Br 1.522 -0.993 -1.781
Cl 0.000 0.000 0.000
Br -1.847 -1.613 -0.679
```

Computed properties:
space group: P4/mmm
size of the total moment: 0.80 μB/atom
mass density: 4.53 Mg/m³
E: -2.39 eV per atom
formation energy (no corrections): 1.436 eV/atom
energy above the most stable polymorph in this dataset: 1.1481 eV per atom

# 4
VASP calculation (PBE) on a geometry-optimized V3Mo3Ru structure.

```
14
Lattice="4.331 0.000 0.000 0.000 6.135 -4.377 0.000 -0.453 7.968" Properties=species:S:1:pos:R:3 pbc="T T T"
V 1.083 3.112 1.064
Ru 1.083 2.054 3.994
Mo 3.248 4.106 4.705
V 3.248 2.570 2.527
Mo 1.083 1.575 -1.114
V 3.248 0.009 3.267
V 1.083 4.109 -1.808
Ru 3.248 3.628 -0.404
Mo 1.083 4.626 3.204
Mo 3.248 1.056 0.387
Mo 1.083 0.523 1.849
V 3.248 1.573 5.399
V 1.083 5.673 0.323
Mo 3.248 5.159 1.741
```

Computed properties:
space group: P2_1/m
size of the total moment: 0.00 μB/atom
mass density: 8.86 Mg/m³
calculated formation energy: -0.168 eV/atom
E: -10.04 eV per atom

# 5
VASP calculation (PBE) on a geometry-optimized Ac5Sb2Te4 structure.

```
11
Lattice="4.936 0.000 0.000 2.468 4.274 0.000 2.468 1.425 23.637" Properties=species:S:1:pos:R:3 pbc="T T T"
Ac 4.936 2.850 11.818
Sb 2.468 1.425 13.731
Ac 4.936 2.850 3.061
Te 4.936 2.850 17.400
Sb 7.404 4.274 9.906
Ac 7.404 4.274 15.540
Ac 2.468 1.425 8.097
Te 4.936 2.850 6.237
Te 2.468 1.425 1.623
Te 7.404 4.274 22.014
Ac 4.936 2.850 20.576
```

Computed properties:
space group: R-3m
size of the total moment: 0.04 μB/atom
mass density: 6.29 Mg/m³
E: -5.01 eV per atom
formation energy (no corrections): -1.248 eV/atom

# 6
VASP calculation (PBE) on a geometry-optimized H2PtRh structure.

```
8
Lattice="4.272 0.000 0.000 0.000 4.272 0.000 2.136 2.136 4.104" Properties=species:S:1:pos:R:3 pbc="T T T"
H 3.204 3.244 3.078
H 3.164 1.068 1.026
Pt 0.000 0.000 0.000
Rh 2.136 2.136 0.000
Pt 4.272 2.136 2.052
Rh 2.136 4.272 2.052
H 5.340 5.300 3.078
H 1.108 3.204 1.026
```

Computed properties:
space group: I-42d
size of the total moment: 0.00 μB/atom
mass density: 13.30 Mg/m³
E: -4.95 eV per atom
energy above the most stable polymorph in this dataset: 0.0274 eV per atom